Computed, not measured: a relaxed Tc2RhSe crystal at the PBE level of DFT.

extended XYZ file:
```
4
Lattice="-2.722 1.014 -0.102 -1.019 -2.719 0.139 -0.115 0.405 7.087" Properties=species:S:1:pos:R:3 pbc="T T T"
Rh -0.057 0.201 3.527
Se -1.958 -0.544 5.420
Tc -0.115 0.403 7.066
Tc -1.898 -0.754 1.740
```

Values from the calculation:
Total magnetization (μB per formula unit): 0.0
Raw total energy (eV for the cell shown): -31.20
Energy relative to the elements, uncorrected (meV per atom): 93

***

Computed, not measured: a relaxed CaTb2SmAs4 crystal at the PBE level of DFT.

extended XYZ file:
```
8
Lattice="-0.775 -5.562 1.832 2.117 1.457 5.319 -6.144 3.411 -1.769" Properties=species:S:1:pos:R:3 pbc="T T T"
Tb -1.763 1.665 3.113
Tb -3.209 -1.844 1.369
As -2.184 -1.107 4.040
As 1.645 -1.067 5.786
As 0.199 -4.575 4.043
As -2.788 0.929 0.442
Ca 0.586 -1.795 3.126
Sm 1.257 -3.848 6.702
```

Values from the calculation:
Total magnetization (μB per formula unit): 0.0
Raw total energy (eV for the cell shown): -45.48
Formation enthalpy at 0 K (eV per atom): -1.36